Here is a relaxed structure of CeY7 from the Alexandria database. Energies are from PBE-GGA.

Its magnetization is 0.099 μB/atom. The calculation puts the formation enthalpy at 0 K at 0.04 eV/atom.

The structure belongs to space group Fm-3m (No. 225); the cell edges are 10.095, 10.095 and 10.095 Å and the angles 90.00°, 90.00° and 90.00°. The distinct sites, in fractional coordinates, are Ce at (0.000, 0.000, 0.000), Y at (0.000, 0.000, 0.500) and Y at (0.000, 0.250, 0.250).

---

Here is a relaxed structure of AcHg4Pb from the Alexandria database. Energies are from PBE-GGA.

Its magnetization is 0.000 μB/atom. The calculation puts the formation enthalpy at 0 K at -0.27 eV/atom. For the energy relative to the lowest polymorph listed for this composition, the calculation gives 1.5 kJ/mol of atoms.

The structure belongs to space group P2_1/m (No. 11); the cell edges are 5.005, 7.445 and 9.295 Å and the angles 90.00°, 102.71° and 90.00°. The distinct sites, in fractional coordinates, are Ac at (0.157, 0.250, 0.267), Hg at (0.051, 0.750, 0.107), Hg at (0.230, 0.750, 0.437), Hg at (0.311, 0.047, 0.656) and Pb at (0.500, 0.000, 0.000).

---

What is the formation enthalpy at 0 K in the second record? -0.27 eV/atom

---

What is the magnetization in the first record? 0.099 μB/atom

---

Among the records above, which one has the highest magnetization? CeY7

---

Please write out number 1 again, unchanged.
Here is a relaxed structure of CeY7 from the Alexandria database. Energies are from PBE-GGA.

Its magnetization is 0.099 μB/atom. The calculation puts the formation enthalpy at 0 K at 0.04 eV/atom.

The structure belongs to space group Fm-3m (No. 225); the cell edges are 10.095, 10.095 and 10.095 Å and the angles 90.00°, 90.00° and 90.00°. The distinct sites, in fractional coordinates, are Ce at (0.000, 0.000, 0.000), Y at (0.000, 0.000, 0.500) and Y at (0.000, 0.250, 0.250).